Computed, not measured: crystalline HoMg2 at its relaxed geometry at the PBE level of DFT.

Results
* electronic total energy: -2.541 eV/atom

Geometry as CIF:
```
data_HoMg2
_symmetry_space_group_name_H-M 'C m c m'
_symmetry_Int_Tables_number 63
_symmetry_space_group_name_Hall '-C 2c 2'
_cell_length_a 9.720
_cell_length_b 5.896
_cell_length_c 5.400
_cell_angle_alpha 90.00
_cell_angle_beta 90.00
_cell_angle_gamma 90.00
loop_
_atom_site_label
_atom_site_fract_x
_atom_site_fract_y
_atom_site_fract_z
Ho1 0.000 0.170 0.250
Mg1 0.166 0.341 0.750
```


Computed, not measured: crystalline LaTa7O19 at its relaxed geometry at the PBE level of DFT.

Results
* electronic total energy: -9.684 eV/atom

Geometry as CIF:
```
data_LaTa7O19
_symmetry_space_group_name_H-M 'P -6 c 2'
_symmetry_Int_Tables_number 188
_symmetry_space_group_name_Hall 'P -6c 2'
_cell_length_a 6.2358
_cell_length_b 6.2358
_cell_length_c 20.0052
_cell_angle_alpha 90.00
_cell_angle_beta 90.00
_cell_angle_gamma 120.00
loop_
_atom_site_label
_atom_site_fract_x
_atom_site_fract_y
_atom_site_fract_z
La1 0.0000 0.0000 0.0000
Ta1 0.0275 0.3340 0.1559
Ta2 0.3333 0.6667 0.0000
O1 0.0000 0.0000 0.1304
O2 0.0421 0.2851 0.2500
O3 0.0921 0.3877 0.0567
O4 0.3333 0.6667 0.1692
O5 0.4189 0.0859 0.6536
```


Computed, not measured: crystalline NdPaPO at its relaxed geometry at the PBE level of DFT.

Results
* electronic total energy: -7.445 eV/atom

Geometry as CIF:
```
data_NdPaPO
_symmetry_space_group_name_H-M 'P 4/n m m'
_symmetry_Int_Tables_number 129
_cell_length_a 4.241
_cell_length_b 4.241
_cell_length_c 9.383
_cell_angle_alpha 90.00
_cell_angle_beta 90.00
_cell_angle_gamma 90.00
loop_
_symmetry_equiv_pos_as_xyz
'x,y,z'
'-x,-y,-z'
'-y+1/2,x,z'
'y+1/2,-x,-z'
'-x+1/2,-y+1/2,z'
'x+1/2,y+1/2,-z'
'y,-x+1/2,z'
'-y,x+1/2,-z'
'x+1/2,-y,-z'
'-x+1/2,y,z'
'-y,-x,-z'
'y,x,z'
'-x,y+1/2,-z'
'x,-y+1/2,z'
'y+1/2,x+1/2,-z'
'-y+1/2,-x+1/2,z'
loop_
_atom_site_label
_atom_site_fract_x
_atom_site_fract_y
_atom_site_fract_z
Nd1 0.250 0.250 0.115
Pa1 0.250 0.750 0.500
P1 0.250 0.250 0.708
O1 0.250 0.750 0.000
```


Computed, not measured: crystalline GdHfTe at its relaxed geometry at the PBE level of DFT.

Results
* electronic total energy: -6.013 eV/atom

Geometry as CIF:
```
data_GdHfTe
_symmetry_space_group_name_H-M 'F -4 3 m'
_symmetry_Int_Tables_number 216
_symmetry_space_group_name_Hall 'F -4 2 3'
_cell_length_a 6.929
_cell_length_b 6.929
_cell_length_c 6.929
_cell_angle_alpha 90.00
_cell_angle_beta 90.00
_cell_angle_gamma 90.00
loop_
_atom_site_label
_atom_site_fract_x
_atom_site_fract_y
_atom_site_fract_z
Gd1 0.000 0.000 0.000
Hf1 0.000 0.000 0.500
Te1 0.250 0.250 0.250
```


Computed, not measured: crystalline Pa2Al3Ag at its relaxed geometry at the PBE level of DFT.

Results
* electronic total energy: -5.760 eV/atom

Geometry as CIF:
```
data_Pa2Al3Ag
_symmetry_space_group_name_H-M 'P 63/m m c'
_symmetry_Int_Tables_number 194
_symmetry_space_group_name_Hall '-P 6c 2c'
_cell_length_a 5.6868
_cell_length_b 5.6868
_cell_length_c 8.5583
_cell_angle_alpha 90.00
_cell_angle_beta 90.00
_cell_angle_gamma 120.00
loop_
_atom_site_label
_atom_site_fract_x
_atom_site_fract_y
_atom_site_fract_z
Pa1 0.3333 0.6667 0.0914
Al1 0.1734 0.3468 0.7500
Ag1 0.0000 0.0000 0.0000
```


Computed, not measured: crystalline BaHgNO at its relaxed geometry at the PBE level of DFT.

Results
* electronic total energy: -4.243 eV/atom

Geometry as CIF:
```
data_BaHgNO
_symmetry_space_group_name_H-M 'P c a 21'
_symmetry_Int_Tables_number 29
_cell_length_a 6.692
_cell_length_b 8.076
_cell_length_c 6.223
_cell_angle_alpha 90.00
_cell_angle_beta 90.00
_cell_angle_gamma 90.00
loop_
_symmetry_equiv_pos_as_xyz
'x,y,z'
'-x,-y,z+1/2'
'-x+1/2,y,z+1/2'
'x+1/2,-y,z'
loop_
_atom_site_label
_atom_site_fract_x
_atom_site_fract_y
_atom_site_fract_z
Ba1 0.060 0.161 0.000
Hg1 0.076 0.604 0.028
N1 0.127 0.574 0.685
O1 0.066 0.131 0.581
```


Computed, not measured: crystalline Cs2ErTmTe4 at its relaxed geometry at the PBE level of DFT.

Results
* electronic total energy: -4.278 eV/atom

Geometry as CIF:
```
data_Cs2ErTmTe4
_symmetry_space_group_name_H-M 'P -3 m 1'
_symmetry_Int_Tables_number 164
_symmetry_space_group_name_Hall '-P 3 2"'
_cell_length_a 4.5119
_cell_length_b 4.5119
_cell_length_c 17.7777
_cell_angle_alpha 90.00
_cell_angle_beta 90.00
_cell_angle_gamma 120.00
loop_
_atom_site_label
_atom_site_fract_x
_atom_site_fract_y
_atom_site_fract_z
Cs1 0.3333 0.6667 0.2502
Er1 0.0000 0.0000 0.0000
Tm1 0.0000 0.0000 0.5000
Te1 0.3333 0.6667 0.5941
Te2 0.3333 0.6667 0.9051
```


Computed, not measured: crystalline InBW2 at its relaxed geometry at the PBE level of DFT.

Results
* electronic total energy: -8.782 eV/atom

Geometry as CIF:
```
data_InBW2
_symmetry_space_group_name_H-M 'P 63/m m c'
_symmetry_Int_Tables_number 194
_symmetry_space_group_name_Hall '-P 6c 2c'
_cell_length_a 3.1474
_cell_length_b 3.1474
_cell_length_c 14.1423
_cell_angle_alpha 90.00
_cell_angle_beta 90.00
_cell_angle_gamma 120.00
loop_
_atom_site_label
_atom_site_fract_x
_atom_site_fract_y
_atom_site_fract_z
In1 0.3333 0.6667 0.2500
B1 0.0000 0.0000 0.0000
W1 0.3333 0.6667 0.5838
```


Computed, not measured: crystalline BaGdAuS3 at its relaxed geometry at the PBE level of DFT.

Results
* electronic total energy: -5.265 eV/atom

Geometry as CIF:
```
data_BaGdAuS3
_symmetry_space_group_name_H-M 'P 1 21/m 1'
_symmetry_Int_Tables_number 11
_cell_length_a 8.088
_cell_length_b 4.109
_cell_length_c 9.661
_cell_angle_alpha 90.00
_cell_angle_beta 106.68
_cell_angle_gamma 90.00
loop_
_symmetry_equiv_pos_as_xyz
'x,y,z'
'-x,-y,-z'
'-x,y+1/2,-z'
'x,-y+1/2,z'
loop_
_atom_site_label
_atom_site_fract_x
_atom_site_fract_y
_atom_site_fract_z
Ba1 0.238 0.250 0.276
Gd1 0.312 0.750 0.843
Au1 0.116 0.250 0.595
S1 0.078 0.250 0.846
S2 0.280 0.750 0.545
S3 0.443 0.750 0.139
```


Computed, not measured: crystalline HfTlAuS3 at its relaxed geometry at the PBE level of DFT.

Results
* electronic total energy: -5.451 eV/atom

Geometry as CIF:
```
data_HfTlAuS3
_symmetry_space_group_name_H-M 'P n m a'
_symmetry_Int_Tables_number 62
_cell_length_a 11.377
_cell_length_b 3.807
_cell_length_c 13.126
_cell_angle_alpha 90.00
_cell_angle_beta 90.00
_cell_angle_gamma 90.00
loop_
_symmetry_equiv_pos_as_xyz
'x,y,z'
'-x,-y,-z'
'-x+1/2,-y,z+1/2'
'x+1/2,y,-z+1/2'
'x+1/2,-y+1/2,-z+1/2'
'-x+1/2,y+1/2,z+1/2'
'-x,y+1/2,-z'
'x,-y+1/2,z'
loop_
_atom_site_label
_atom_site_fract_x
_atom_site_fract_y
_atom_site_fract_z
Hf1 0.055 0.250 0.143
Tl1 0.128 0.250 0.518
Au1 0.236 0.750 0.350
S1 0.046 0.750 0.275
S2 0.083 0.250 0.935
S3 0.239 0.750 0.648
```


Computed, not measured: crystalline Na5Er4Si4O16F at its relaxed geometry at the PBE level of DFT.

Results
* electronic total energy: -7.197 eV/atom

Geometry as CIF:
```
data_Na5Er4Si4O16F
_symmetry_space_group_name_H-M 'I -4'
_symmetry_Int_Tables_number 82
_cell_length_a 11.443
_cell_length_b 11.443
_cell_length_c 5.367
_cell_angle_alpha 90.00
_cell_angle_beta 90.00
_cell_angle_gamma 90.00
loop_
_symmetry_equiv_pos_as_xyz
'x,y,z'
'y,-x,-z'
'-x,-y,z'
'-y,x,-z'
'x+1/2,y+1/2,z+1/2'
'y+1/2,-x+1/2,-z+1/2'
'-x+1/2,-y+1/2,z+1/2'
'-y+1/2,x+1/2,-z+1/2'
loop_
_atom_site_label
_atom_site_fract_x
_atom_site_fract_y
_atom_site_fract_z
Na1 0.000 0.000 0.000
Na2 0.089 0.604 0.493
Er1 0.115 0.181 0.476
Si1 0.104 0.752 0.990
O1 0.032 0.795 0.742
O2 0.048 0.814 0.237
O3 0.110 0.390 0.486
O4 0.203 0.238 0.069
F1 0.000 0.000 0.500
```


Computed, not measured: crystalline Mg149Co at its relaxed geometry at the PBE level of DFT.

Results
* electronic total energy: -1.572 eV/atom

Geometry as CIF:
```
data_Mg149Co
_symmetry_space_group_name_H-M 'P -6 m 2'
_symmetry_Int_Tables_number 187
_symmetry_space_group_name_Hall 'P -6 2'
_cell_length_a 15.9916
_cell_length_b 15.9916
_cell_length_c 15.3268
_cell_angle_alpha 90.00
_cell_angle_beta 90.00
_cell_angle_gamma 120.00
loop_
_atom_site_label
_atom_site_fract_x
_atom_site_fract_y
_atom_site_fract_z
Mg1 0.0000 0.0000 0.0000
Mg2 0.0000 0.0000 0.3332
Mg3 0.0000 0.2002 0.0000
Mg4 0.9999 0.1996 0.3332
Mg5 0.0009 0.4006 0.0000
Mg6 0.0027 0.4018 0.3345
Mg7 0.1334 0.2669 0.1663
Mg8 0.1336 0.0668 0.1666
Mg9 0.1337 0.0668 0.5000
Mg10 0.1342 0.2683 0.5000
Mg11 0.1345 0.4683 0.1685
Mg12 0.1435 0.4752 0.5000
Mg13 0.1991 0.3983 0.3329
Mg14 0.2004 0.4009 0.0000
Mg15 0.2006 0.6003 0.0000
Mg16 0.2070 0.6035 0.3413
Mg17 0.3330 0.0645 0.5000
Mg18 0.3333 0.6667 0.1683
Mg19 0.3336 0.0662 0.1674
Mg20 0.3998 0.1999 0.0000
Mg21 0.3999 0.1999 0.3340
Mg22 0.5317 0.0635 0.5000
Mg23 0.5332 0.0663 0.1672
Mg24 0.5329 0.2665 0.5000
Mg25 0.5334 0.2667 0.1669
Mg26 0.5996 0.1991 0.3339
Mg27 0.5998 0.1995 0.0000
Co1 0.3333 0.6667 0.5000
```


Computed, not measured: crystalline Y2Hf3Cd2 at its relaxed geometry at the PBE level of DFT.

Results
* calculated formation energy: -0.5 eV/f.u.

Geometry as CIF:
```
data_Y2Hf3Cd2
_symmetry_space_group_name_H-M 'R 3 m'
_symmetry_Int_Tables_number 160
_symmetry_space_group_name_Hall 'R 3 -2"'
_cell_length_a 5.0824
_cell_length_b 5.0824
_cell_length_c 22.7939
_cell_angle_alpha 90.00
_cell_angle_beta 90.00
_cell_angle_gamma 120.00
loop_
_atom_site_label
_atom_site_fract_x
_atom_site_fract_y
_atom_site_fract_z
Y1 0.0000 0.0000 0.0000
Y2 0.0000 0.0000 0.4380
Hf1 0.0000 0.0000 0.2657
Hf2 0.0000 0.0000 0.5893
Hf3 0.0000 0.0000 0.8646
Cd1 0.0000 0.0000 0.1399
Cd2 0.0000 0.0000 0.7241
```